This record from Alexandria via LeMat-Bulk describes a relaxed structure of Mg6AlGa2. The functional is PBE.

DOS at the Fermi energy   4.34 states/eV/f.u.
Offset from the most stable computed form   192 meV per atom
Spin magnetization   0.00 μB per atom
SG   P4_2/mnm, No. 136
Electronic total energy   -2.012 eV per atom
Formation energy from the elements   0.139 eV/atom
Mass density   2.241 Mg/m³

Cell lengths 6.8382, 6.8382, 9.8953 Å; angles 90.00, 90.00, 90.00 degrees
Last column: nearest neighbours and their distance in Å.
Positions (direct):
Mg: 0.7078 0.7078 0.0000  2 Ga 2.78, 1 Al 2.83
Mg: 0.2660 0.2660 0.6624  2 Ga 2.59-2.67, 1 Al 2.78
Mg: 0.2340 0.7660 0.8376  2 Ga 2.59-2.67, 1 Al 2.78
Al: 0.5000 0.5000 0.5000  6 Mg 2.78-2.83, 2 Ga 3.03
Mg: 0.7340 0.7340 0.3376  2 Ga 2.59-2.67, 1 Al 2.78
Mg: 0.7660 0.2340 0.1624  2 Ga 2.59-2.67, 1 Al 2.78
Al: 0.0000 0.0000 0.0000  6 Mg 2.78-2.83, 2 Ga 3.03
Ga: 0.0000 0.0000 0.6935  6 Mg 2.59-2.78
Ga: 0.5000 0.5000 0.1935  6 Mg 2.59-2.78
Mg: 0.2660 0.2660 0.3376  2 Ga 2.59-2.67, 1 Al 2.78
Mg: 0.7922 0.2078 0.5000  2 Ga 2.78, 1 Al 2.83
Ga: 0.0000 0.0000 0.3065  6 Mg 2.59-2.78
Mg: 0.7340 0.7340 0.6624  2 Ga 2.59-2.67, 1 Al 2.78
Mg: 0.2340 0.7660 0.1624  2 Ga 2.59-2.67, 1 Al 2.78
Mg: 0.2922 0.2922 0.0000  2 Ga 2.78, 1 Al 2.83
Mg: 0.2078 0.7922 0.5000  2 Ga 2.78, 1 Al 2.83
Mg: 0.7660 0.2340 0.8376  2 Ga 2.59-2.67, 1 Al 2.78
Ga: 0.5000 0.5000 0.8065  6 Mg 2.59-2.78